(1)
This record from the Alexandria database describes crystalline Sm2VCl at its relaxed geometry. The functional is GGA-PBE.

**E_form (uncorrected)**: -2.9 kJ/mol of atoms
**Fermi-level density of states**: 4.91 states/eV/f.u.
**E_tot**: -5.1309 eV/atom

Lattice parameters (Å, degrees): 3.3482 3.3482 30.9578 90.00 90.00 120.00
Last column: nearest neighbours and their distance in Å.
Space group R-3m (No. 166, hexagonal axes)
Symmetry-distinct sites (fractional):
Sm1 0.0000 0.0000 0.0921 x6  1 V 2.85, 3 Cl 3.01
V1 0.0000 0.0000 0.0000 x3  2 Sm 2.85
Cl1 0.0000 0.0000 0.5000 x3  6 Sm 3.01, 6 Cl 3.35

=====

(2)
This record from the Alexandria database describes crystalline SmVCl at its relaxed geometry. The functional is GGA-PBE.

**E_form (uncorrected)**: -30.2 kJ/mol of atoms
**Fermi-level density of states**: 1.58 states/eV/f.u.
**E_tot**: -5.5414 eV/atom

Lattice parameters (Å, degrees): 4.9512 5.5319 5.8077 66.17 85.11 73.47
Last column: nearest neighbours and their distance in Å.
Space group P-1 (No. 2)
Symmetry-distinct sites (fractional):
Sm1 0.1550 0.1096 0.2102 x2  3 Cl 2.82-2.95
V1 0.1836 0.4160 0.5789 x2  1 V 1.91
Cl1 0.4203 0.6911 0.6968 x2  2 V 2.48-2.52